Entry 1:
# Li4TlHgPd2 | OQMD via LeMat-Bulk | PBE | relaxed
data_Li4TlHgPd2
_cell_length_a 4.533
_cell_length_b 4.533
_cell_length_c 6.401
_cell_angle_alpha 90.00
_cell_angle_beta 90.00
_cell_angle_gamma 90.00
_space_group_name_H-M_alt 'P -4 m 2'
_space_group_IT_number 115
_space_group_name_Hall 'P -4 -2'
loop_
_atom_site_label
_atom_site_type_symbol
_atom_site_fract_x
_atom_site_fract_y
_atom_site_fract_z
Li1 Li 0.000 0.000 0.000
Li2 Li 0.000 0.500 0.243
Li3 Li 0.500 0.500 0.500
Tl1 Tl 0.000 0.000 0.500
Hg1 Hg 0.500 0.500 0.000
Pd1 Pd 0.000 0.500 0.748
# Energy   -0.10920 hartree per atom

=====

Entry 2:
# Li4ZnHgPd2 | OQMD via LeMat-Bulk | PBE | relaxed
data_Li4ZnHgPd2
_cell_length_a 4.341
_cell_length_b 4.341
_cell_length_c 6.395
_cell_angle_alpha 90.00
_cell_angle_beta 90.00
_cell_angle_gamma 90.00
_space_group_name_H-M_alt 'P -4 m 2'
_space_group_IT_number 115
_space_group_name_Hall 'P -4 -2'
loop_
_atom_site_label
_atom_site_type_symbol
_atom_site_fract_x
_atom_site_fract_y
_atom_site_fract_z
Li1 Li 0.000 0.000 0.000
Li2 Li 0.000 0.500 0.239
Li3 Li 0.500 0.500 0.500
Zn1 Zn 0.500 0.500 0.000
Hg1 Hg 0.000 0.000 0.500
Pd1 Pd 0.000 0.500 0.777
# Energy   -0.10552 hartree per atom

=====

Entry 3:
# LiPmHg | OQMD via LeMat-Bulk | PBE | relaxed
data_LiPmHg
_cell_length_a 7.001
_cell_length_b 7.001
_cell_length_c 7.001
_cell_angle_alpha 90.00
_cell_angle_beta 90.00
_cell_angle_gamma 90.00
_space_group_name_H-M_alt 'F -4 3 m'
_space_group_IT_number 216
_space_group_name_Hall 'F -4 2 3'
loop_
_atom_site_label
_atom_site_type_symbol
_atom_site_fract_x
_atom_site_fract_y
_atom_site_fract_z
Li1 Li 0.000 0.000 0.000
Pm1 Pm 0.000 0.000 0.500
Hg1 Hg 0.250 0.250 0.250
# Energy   -0.08964 hartree per atom
# Total magnetization   0.191 μB/atom
# Polymorph energy (0 for the lowest one)   0.000 eV per atom